Here is crystalline Cd3Rh4 at its relaxed geometry from the Alexandria database. Energies are from PBE.

```
Cd3Rh4
1.0
1.5914 4.3616 2.7513
-4.0745 -3.0180 1.8481
3.1294 -2.7062 2.4799
Rh Cd
4 3
Direct
0.3333 0.6667 0.5000
0.6667 0.3333 0.5000
0.0000 0.0000 0.2557
0.0000 0.0000 0.7443
0.5000 0.5000 0.0000
0.5000 0.0000 0.0000
0.0000 0.5000 0.0000
```

Properties
Energy relative to the lowest polymorph listed for this composition   2.624 eV per formula unit
Calculated formation energy   0.37 eV per atom